The following is a DFT calculation (GGA-PBE) of Tl2ReAu after structural relaxation.

POSCAR file:
```
Tl2ReAu
1.0
0.0000 3.5167 3.5167
3.5167 0.0000 3.5167
3.5167 3.5167 0.0000
Tl Re Au
2 1 1
Direct
0.0000 0.0000 0.0000
0.2500 0.2500 0.2500
0.5000 0.5000 0.5000
0.7500 0.7500 0.7500
```

Values from the calculation:
The value obtained for the total energy is -16.14 eV per formula unit. As for the size of the total moment: 2.81 μB/cell. The volume is 86.99 Å³ per cell. The calculation puts the density of states at the Fermi level at 0.775 states/eV/atom. The energy above the most stable polymorph in this dataset is 402.2 meV per atom.